Material: CoIN2F
Method: DFT, PBE+U
State: relaxed

The structure in POSCAR format:
```
CoIN2F
1.0
3.9045 0.0000 0.0000
0.0000 3.9045 0.0000
0.0000 0.0000 6.8743
Co I N F
1 1 2 1
direct
0.0000 0.0000 0.0000
0.5000 0.5000 0.0000
0.0000 0.5000 0.5000
0.5000 0.0000 0.5000
0.5000 0.5000 0.5000
```

## Properties
Space group: P4/mmm
Energy above the most stable polymorph in this dataset in meV/atom: 1185.7
E in eV per atom: -2.970
Theoretical density in g/cm³: 3.7